CdFeAuF6 | PBE+U | optimized geometry

Cell and atoms, written as extended XYZ:
```
18
Lattice="-3.983 2.390 -3.420 2.863 -4.693 -1.749 -6.868 -5.689 4.023" Properties=species:S:1:pos:R:3 pbc="T T T"
F -4.960 -5.223 -0.647
F -4.561 -2.615 -2.900
F -1.795 -2.101 -2.723
F -4.212 -7.846 2.194
F -5.588 -7.949 -0.301
F -3.428 -5.376 1.754
F -3.777 -0.145 -3.341
F -6.193 -5.890 1.577
F -3.040 -7.305 -0.311
F -3.028 -2.768 -0.500
F -2.400 -0.042 -0.845
F -4.949 -0.686 -0.835
Au -3.434 -2.844 2.011
Au 0.000 0.000 0.000
Cd -1.136 -3.754 -1.300
Cd -6.852 -4.237 0.154
Fe -3.418 -1.393 -1.857
Fe -4.570 -6.598 0.711
```

The value obtained for the total DFT energy (no corrections) is -4.1794 eV per atom. Its symmetry is P-31c. The magnetization comes out at 4.907 μB per formula unit. Its volume is 141.0 Å³/f.u.